No. 1
Below is a relaxed LaPrFe2Si2 crystal, with properties calculated at the PBE level.

abc: 4.079 4.079 6.940
angles: 90.00 90.00 90.00
Fractional coordinates of all 6 atoms:
Pr 0.000 0.000 0.316
Si 0.500 0.500 0.162
Si 0.000 0.000 0.839
Fe 0.000 0.500 0.001
Fe 0.500 0.000 0.001
La 0.500 0.500 0.681

## Properties
- Size of the total moment: 0.00 μB/cell
- VASP energy: -6.764 eV/atom

No. 2
Below is a relaxed LaPuFe crystal, with properties calculated at the PBE level.

abc: 4.372 4.372 4.372
angles: 60.00 60.00 60.00
Fractional coordinates of all 3 atoms:
Pu 0.750 0.750 0.750
Fe 0.250 0.250 0.250
La 0.000 0.000 0.000

## Properties
- DFT formation energy: 2.50 eV/f.u.
- Size of the total moment: 4.18 μB/cell
- VASP energy: -8.287 eV/atom